1.
GaCu2AsO6 after structural relaxation. Source: the Alexandria database, functional PBE-GGA.

The structure belongs to space group C2/c (No. 15); the cell edges are 9.705, 8.788 and 5.156 Å and the angles 90.00°, 97.45° and 90.00°. The distinct sites, in fractional coordinates, are Ga at (0.000, 0.089, 0.250), Cu at (0.183, 0.409, 0.298), As at (0.000, 0.261, 0.750), O at (0.102, 0.242, 0.077), O at (0.106, 0.090, 0.621) and O at (0.122, 0.398, 0.640).

For the theoretical density, the calculation gives 5.602 g/cm3. As for the formation energy without anion corrections: -0.998 eV per atom. Its total DFT energy (no corrections) is -5.56 eV per atom.



2.
BaLiHg2Au after structural relaxation. Source: the Alexandria database, functional PBE-GGA.

The structure belongs to space group P4/mmm (No. 123); the cell edges are 5.449, 5.449 and 4.971 Å and the angles 90.00°, 90.00° and 90.00°. The distinct sites, in fractional coordinates, are Ba at (0.000, 0.000, 0.000), Li at (0.500, 0.500, 0.000), Hg at (0.000, 0.500, 0.500) and Au at (0.500, 0.500, 0.500).

For the theoretical density, the calculation gives 8.352 g/cm3. Its total DFT energy (no corrections) is -1.84 eV per atom. The formation energy is -0.30 eV/atom. The value obtained for the polymorph energy (0 for the lowest one) is 110.2 meV/atom.